FePtO2 at its PBEsol-relaxed geometry, computed with meta-GGA SCAN.

Calculated values
- SG: I-42d

Cell and atoms, written as POSCAR:
```
FePtO2
1.0
4.915 0.000 0.000
-2.457 4.794 0.109
0.000 2.423 4.276
O Pt Fe
4 2 2
Direct
0.173 0.750 0.875
0.375 0.250 0.173
0.875 0.250 0.577
0.577 0.750 0.375
0.000 0.000 0.000
0.750 0.500 0.750
0.250 0.500 0.250
0.500 0.000 0.500
```


FePtO2 at its PBEsol-relaxed geometry, computed with meta-GGA SCAN.

Calculated values
- SG: R-3m

Cell and atoms, written as POSCAR:
```
FePtO2
1.0
2.773 0.000 0.000
1.386 2.401 0.000
1.386 0.800 6.059
Pt Fe O
1 1 2
Direct
0.000 0.000 0.000
0.500 0.500 0.500
0.890 0.890 0.330
0.110 0.110 0.670
```


FePtO3 at its PBEsol-relaxed geometry, computed with meta-GGA SCAN.

Calculated values
- SG: Pm-3m

Cell and atoms, written as POSCAR:
```
FePtO3
1.0
3.891 0.000 0.000
0.000 3.891 0.000
0.000 0.000 3.891
O Pt Fe
3 1 1
Direct
0.500 0.000 0.000
0.000 0.000 0.500
0.000 0.500 0.000
0.000 0.000 0.000
0.500 0.500 0.500
```


FeSbPt2O at its PBEsol-relaxed geometry, computed with meta-GGA SCAN.

Calculated values
- SG: P4/mmm

Cell and atoms, written as POSCAR:
```
FeSbPt2O
1.0
4.492 0.000 0.000
0.000 4.492 0.000
0.000 0.000 4.750
Pt Fe Sb O
2 1 1 1
Direct
0.500 0.000 0.000
0.000 0.500 0.000
0.000 0.000 0.000
0.000 0.000 0.500
0.500 0.500 0.500
```


TiFe2PtO at its PBEsol-relaxed geometry, computed with meta-GGA SCAN.

Calculated values
- SG: P4/mmm

Cell and atoms, written as POSCAR:
```
TiFe2PtO
1.0
-1.182 -3.453 0.796
3.806 -0.690 2.660
-2.312 1.653 3.737
Fe Ti O Pt
2 1 1 1
Direct
0.000 0.500 0.000
0.000 0.000 0.500
0.500 0.500 0.500
0.500 0.000 0.000
0.000 0.000 0.000
```


Rb8Fe2O7 at its PBEsol-relaxed geometry, computed with meta-GGA SCAN.

Calculated values
- SG: P2_1/c

Cell and atoms, written as POSCAR:
```
Rb8Fe2O7
1.0
-3.076 2.718 -9.059
1.183 -11.463 -0.270
-11.977 -1.322 3.670
O Rb Fe
28 32 8
Direct
0.877 0.114 0.893
0.322 0.492 0.874
0.419 0.888 0.826
0.123 0.886 0.107
0.109 0.116 0.374
0.772 0.706 0.812
0.094 0.301 0.725
0.678 0.508 0.126
0.419 0.388 0.674
0.772 0.206 0.688
0.228 0.794 0.312
0.678 0.008 0.374
0.228 0.294 0.188
0.322 0.992 0.626
0.094 0.801 0.775
0.581 0.112 0.174
0.295 0.721 0.625
0.906 0.699 0.275
0.906 0.199 0.225
0.891 0.884 0.626
0.891 0.384 0.874
0.705 0.779 0.125
0.581 0.612 0.326
0.877 0.614 0.607
0.123 0.386 0.393
0.705 0.279 0.375
0.295 0.221 0.875
0.109 0.616 0.126
0.573 0.142 0.526
0.068 0.134 0.054
0.297 0.545 0.246
0.427 0.858 0.474
0.761 0.775 0.450
0.068 0.634 0.446
0.573 0.642 0.974
0.703 0.455 0.754
0.114 0.913 0.490
0.093 0.553 0.744
0.239 0.725 0.950
0.114 0.413 0.010
0.490 0.151 0.766
0.886 0.587 0.990
0.932 0.866 0.946
0.907 0.947 0.244
0.239 0.225 0.550
0.335 0.022 0.984
0.427 0.358 0.026
0.510 0.849 0.234
0.510 0.349 0.266
0.093 0.053 0.756
0.761 0.275 0.050
0.886 0.087 0.510
0.932 0.366 0.554
0.907 0.447 0.256
0.665 0.478 0.484
0.335 0.522 0.516
0.297 0.045 0.254
0.665 0.978 0.016
0.703 0.955 0.746
0.490 0.651 0.734
0.286 0.853 0.712
0.095 0.752 0.201
0.905 0.248 0.799
0.714 0.647 0.212
0.714 0.147 0.288
0.286 0.353 0.788
0.095 0.252 0.299
0.905 0.748 0.701
```


Rb3FeO at its PBEsol-relaxed geometry, computed with meta-GGA SCAN.

Calculated values
- SG: Pm-3m

Cell and atoms, written as POSCAR:
```
Rb3FeO
1.0
-4.980 -2.408 -0.542
1.970 -4.612 2.395
-1.488 1.954 4.986
O Fe Rb
1 1 3
Direct
0.000 0.000 0.000
0.500 0.500 0.500
0.000 0.000 0.500
0.000 0.500 0.000
0.500 0.000 0.000
```


Rb3FeO3 at its PBEsol-relaxed geometry, computed with meta-GGA SCAN.

Calculated values
- SG: C2/m

Cell and atoms, written as POSCAR:
```
Rb3FeO3
1.0
6.717 -0.002 -0.003
-0.843 6.742 0.055
-0.843 -2.929 6.073
O Fe Rb
6 2 6
Direct
0.266 0.422 0.155
0.734 0.845 0.578
0.846 0.094 0.094
0.734 0.578 0.845
0.154 0.906 0.906
0.266 0.155 0.422
0.853 0.832 0.832
0.147 0.168 0.168
0.000 0.742 0.258
0.500 0.188 0.812
0.500 0.812 0.188
0.000 0.258 0.742
0.345 0.626 0.626
0.655 0.374 0.374
```


no.,uncorrected energy (eV per atom),formation energy from raw total energies (eV per atom)
1,-25.63,-0.43
2,-26.34,-1.14
3,-21.45,-0.05
4,-39.22,1.18
5,-25.16,0.58
6,-15.93,-1.47
7,-17.42,-0.10
8,-15.74,-1.59